[1]
Material: ThRe2SiC
Method: DFT, SCAN
State: PBEsol geometry

Values from the calculation:
The size of the total moment is 0.000 μB per atom. As for the raw formation energy: -2.34 eV/f.u.

The structure in POSCAR format:
```
ThRe2SiC
1.0
-3.616 -1.581 0.670
3.773 -1.836 4.070
-1.720 5.705 4.168
Re Si C Th
4 2 2 2
Direct
0.174 0.347 0.438
0.826 0.653 0.562
0.826 0.653 0.938
0.174 0.347 0.062
0.734 0.469 0.250
0.266 0.531 0.750
0.000 0.000 0.500
0.000 0.000 0.000
0.455 0.910 0.250
0.545 0.090 0.750
```

---

[2]
Material: Y2Re2Si2C
Method: DFT, SCAN
State: PBEsol geometry

Values from the calculation:
The size of the total moment is 0.000 μB per atom. As for the raw formation energy: -4.84 eV/f.u.

The structure in POSCAR format:
```
Y2Re2Si2C
1.0
3.946 0.000 0.000
1.973 5.414 0.019
1.973 1.247 5.484
Y Re Si C
2 2 2 1
Direct
0.428 0.846 0.299
0.572 0.154 0.701
0.792 0.324 0.091
0.208 0.676 0.909
0.859 0.603 0.679
0.141 0.397 0.321
0.000 0.000 0.000
```

---

[3]
Material: YRe2SiC
Method: DFT, SCAN
State: PBEsol geometry

Values from the calculation:
The size of the total moment is 0.000 μB per atom. As for the raw formation energy: -2.67 eV/f.u.

The structure in POSCAR format:
```
YRe2SiC
1.0
3.919 0.000 0.000
-1.959 5.418 0.000
0.000 0.000 7.221
Y Re Si C
2 4 2 2
Direct
0.457 0.915 0.250
0.543 0.085 0.750
0.174 0.348 0.438
0.826 0.652 0.562
0.826 0.652 0.938
0.174 0.348 0.062
0.736 0.471 0.250
0.264 0.529 0.750
0.000 0.000 0.500
0.000 0.000 0.000
```

---

[4]
Material: Sm2ReC2
Method: DFT, SCAN
State: PBEsol geometry

Values from the calculation:
The size of the total moment is 0.000 μB per atom. The calculation puts the formation energy at -0.435 eV/atom.

The structure in POSCAR format:
```
Sm2ReC2
1.0
5.210 0.000 0.000
0.000 6.598 0.000
0.000 0.000 9.954
Sm Re C
8 4 8
Direct
0.250 0.027 0.715
0.750 0.473 0.215
0.250 0.527 0.785
0.750 0.973 0.285
0.250 0.686 0.448
0.750 0.314 0.552
0.250 0.186 0.052
0.750 0.814 0.948
0.250 0.726 0.138
0.750 0.774 0.638
0.750 0.274 0.862
0.250 0.226 0.362
0.750 0.539 0.758
0.250 0.961 0.258
0.750 0.039 0.742
0.250 0.461 0.242
0.750 0.181 0.044
0.250 0.319 0.544
0.750 0.681 0.456
0.250 0.819 0.956
```

---

[5]
Material: ReTc2SnC
Method: DFT, SCAN
State: PBEsol geometry

Values from the calculation:
The size of the total moment is 0.382 μB per atom. The calculation puts the formation energy at 0.282 eV/atom.

The structure in POSCAR format:
```
ReTc2SnC
1.0
-1.522 -0.271 -3.784
3.118 -2.447 -1.079
-2.194 -3.288 1.118
Re C Sn Tc
1 1 1 2
Direct
0.500 0.000 0.000
0.000 0.000 0.000
0.500 0.500 0.500
0.000 0.000 0.500
0.000 0.500 0.000
```

---

[6]
Material: Zr2ReSnC
Method: DFT, SCAN
State: PBEsol geometry

Values from the calculation:
The size of the total moment is 0.000 μB per atom. The calculation puts the formation energy at -0.376 eV/atom.

The structure in POSCAR format:
```
Zr2ReSnC
1.0
4.018 0.000 0.000
0.000 4.581 0.000
0.000 0.000 4.581
Re C Sn Zr
1 1 1 2
Direct
0.500 0.000 0.000
0.000 0.000 0.000
0.500 0.500 0.500
0.000 0.000 0.500
0.000 0.500 0.000
```

---

[7]
Material: TaRe3C
Method: DFT, SCAN
State: PBEsol geometry

Values from the calculation:
The size of the total moment is 0.000 μB per atom. The calculation puts the formation energy at 0.051 eV/atom.

The structure in POSCAR format:
```
TaRe3C
1.0
4.081 0.000 0.000
0.000 4.081 0.000
0.000 0.000 4.081
Re C Ta
3 1 1
Direct
0.000 0.500 0.000
0.000 0.000 0.500
0.500 0.000 0.000
0.000 0.000 0.000
0.500 0.500 0.500
```

---

[8]
Material: Tb2ReC2
Method: DFT, SCAN
State: PBEsol geometry

Values from the calculation:
The size of the total moment is 0.000 μB per atom. The calculation puts the formation energy at -0.509 eV/atom.

The structure in POSCAR format:
```
Tb2ReC2
1.0
5.090 0.000 0.000
0.000 6.530 0.000
0.000 0.000 9.789
Tb Re C
8 4 8
Direct
0.250 0.681 0.445
0.750 0.819 0.945
0.250 0.181 0.055
0.750 0.319 0.555
0.250 0.031 0.715
0.750 0.469 0.215
0.250 0.531 0.785
0.750 0.969 0.285
0.250 0.221 0.366
0.750 0.279 0.866
0.250 0.721 0.134
0.750 0.779 0.634
0.250 0.323 0.550
0.750 0.677 0.450
0.250 0.823 0.950
0.750 0.177 0.050
0.250 0.455 0.241
0.750 0.045 0.741
0.250 0.955 0.259
0.750 0.545 0.759
```

---

[9]
Material: Tb12Re5C15
Method: DFT, SCAN
State: PBEsol geometry

Values from the calculation:
The size of the total moment is 0.000 μB per atom. The calculation puts the formation energy at -0.465 eV/atom.

The structure in POSCAR format:
```
Tb12Re5C15
1.0
5.068 0.000 0.000
0.000 10.657 0.000
0.000 -5.329 9.230
Tb Re C
12 5 15
Direct
0.000 0.457 0.187
0.000 0.730 0.543
0.000 0.813 0.270
0.000 0.543 0.730
0.000 0.270 0.813
0.000 0.187 0.457
0.500 0.000 0.573
0.500 0.573 0.000
0.500 0.427 0.427
0.500 0.000 0.205
0.500 0.205 0.000
0.500 0.795 0.795
0.000 0.000 0.848
0.000 0.848 0.000
0.000 0.152 0.152
0.500 0.667 0.333
0.500 0.333 0.667
0.500 0.468 0.187
0.500 0.719 0.532
0.500 0.813 0.281
0.500 0.532 0.719
0.500 0.281 0.813
0.500 0.187 0.468
0.000 0.000 0.667
0.000 0.667 0.000
0.000 0.333 0.333
0.000 0.000 0.540
0.000 0.540 0.000
0.000 0.460 0.460
0.000 0.000 0.215
0.000 0.215 0.000
0.000 0.785 0.785
```

---

[10]
Material: ReTc3C
Method: DFT, SCAN
State: PBEsol geometry

Values from the calculation:
The size of the total moment is 0.365 μB per atom. The calculation puts the formation energy at 3.018 eV/atom.

The structure in POSCAR format:
```
ReTc3C
1.0
4.613 0.000 0.000
0.000 4.613 0.000
0.000 0.000 4.613
Re C Tc
1 1 3
Direct
0.000 0.000 0.000
0.500 0.500 0.500
0.000 0.500 0.000
0.000 0.000 0.500
0.500 0.000 0.000
```

---

[11]
Material: ReTeC2
Method: DFT, SCAN
State: PBEsol geometry

Values from the calculation:
The size of the total moment is 0.000 μB per atom. As for the raw formation energy: 4.89 eV/f.u.

The structure in POSCAR format:
```
ReTeC2
1.0
-3.503 0.541 3.781
1.617 -5.613 -1.251
3.283 -2.194 3.356
Re C Te
2 4 2
Direct
0.750 0.500 0.750
0.000 0.000 0.000
0.713 0.750 0.375
0.037 0.750 0.875
0.875 0.250 0.713
0.375 0.250 0.037
0.250 0.500 0.250
0.500 0.000 0.500
```

---

[12]
Material: ReTeC3
Method: DFT, SCAN
State: PBEsol geometry

Values from the calculation:
The size of the total moment is 0.000 μB per atom. As for the raw formation energy: 10.33 eV/f.u.

The structure in POSCAR format:
```
ReTeC3
1.0
4.073 0.000 0.000
0.000 4.073 0.000
0.000 0.000 4.073
Re C Te
1 3 1
Direct
0.000 0.000 0.000
0.000 0.500 0.000
0.000 0.000 0.500
0.500 0.000 0.000
0.500 0.500 0.500
```